This record from the Alexandria database describes an optimized crystal structure of SrSi2MoF. The functional is GGA+U.

a = 5.641 Å, b = 6.328 Å, c = 5.641 Å
α = 90.00°, β = 90.00°, γ = 90.00°
Each line ends with the local moment (μB).
Fractional positions:
Sr  0.000  0.000  0.000  0.12
Mo  0.000  0.500  0.000  0.04
Si  0.000  0.000  0.500  0.26
Si  0.500  0.000  0.000  0.26
F  0.500  0.500  0.500  0.11

Computed properties:
Raw total energy in eV for the cell shown: -11.2
Crystal system: tetragonal
SG: No. 123